# 1
! Ca3TmHf2P6, optimized geometry, DFT GGA-PBE; values from VASP
&SYSTEM
  ibrav = 0, nat = 12, ntyp = 4
/
ATOMIC_SPECIES
Ca 40.08 Ca.upf
Tm 168.93 Tm.upf
Hf 178.49 Hf.upf
P 30.97 P.upf
CELL_PARAMETERS angstrom
3.365 -5.834 0.000
3.365 5.834 0.000
-2.255 0.000 6.637
ATOMIC_POSITIONS crystal
Ca 0.000 0.000 0.000
Ca 0.336 0.664 0.000
Ca 0.664 0.336 0.000
Tm 0.500 0.500 0.500
Hf 0.167 0.833 0.500
Hf 0.833 0.167 0.500
P 0.080 0.425 0.275
P 0.229 0.229 0.724
P 0.425 0.080 0.275
P 0.575 0.920 0.725
P 0.771 0.771 0.276
P 0.920 0.575 0.725
! * E: -77.85 eV per cell
! * size of the total moment: 0.00 Bohr magnetons per cell
! * volume: 21.72 A^3/atom



# 2
! Sr3Sm2ErSe6, optimized geometry, DFT GGA-PBE; values from VASP
&SYSTEM
  ibrav = 0, nat = 12, ntyp = 4
/
ATOMIC_SPECIES
Sr 87.62 Sr.upf
Sm 150.36 Sm.upf
Er 167.26 Er.upf
Se 78.96 Se.upf
CELL_PARAMETERS angstrom
3.671 -6.349 0.000
3.671 6.349 0.000
-2.450 0.000 7.084
ATOMIC_POSITIONS crystal
Sr 0.000 0.000 0.000
Sr 0.331 0.669 0.000
Sr 0.669 0.331 0.000
Sm 0.166 0.834 0.500
Sm 0.834 0.166 0.500
Er 0.500 0.500 0.500
Se 0.097 0.423 0.267
Se 0.253 0.253 0.735
Se 0.423 0.097 0.267
Se 0.577 0.903 0.733
Se 0.747 0.747 0.265
Se 0.903 0.577 0.733
! * E: -62.66 eV per cell
! * size of the total moment: 0.00 Bohr magnetons per cell
! * volume: 27.51 A^3/atom
! * formation energy (no corrections): -22.710 eV/f.u.



# 3
! Pa2GeN, optimized geometry, DFT GGA-PBE; values from VASP
&SYSTEM
  ibrav = 0, nat = 4, ntyp = 3
/
ATOMIC_SPECIES
Pa 231.04 Pa.upf
Ge 72.64 Ge.upf
N 14.01 N.upf
CELL_PARAMETERS angstrom
1.868 1.079 6.508
-1.868 1.079 6.508
0.000 -2.157 6.508
ATOMIC_POSITIONS crystal
Pa 0.235 0.235 0.235
Pa 0.765 0.765 0.765
Ge 0.000 0.000 0.000
N 0.500 0.500 0.500
! * E: -35.44 eV per cell
! * energy above the lowest structure with this stoichiometry: 0 meV/atom
! * size of the total moment: 0.00 Bohr magnetons per cell
! * volume: 19.67 A^3/atom
! * formation energy (no corrections): -3.503 eV/f.u.